Mn2SiW: optimized geometry, GGA-PBE.

Unit cell a=2.776 b=2.776 c=6.415 alpha=90.00 beta=90.00 gamma=90.00
Site moments in Bohr magnetons follow the coordinates.
Atoms (fractional coordinates):
Mn: 0.000 0.000 0.032  0.89
Mn: 0.500 0.500 0.255  -0.12
Si: 0.000 0.000 0.466  0.02
W: 0.500 0.500 0.747  -0.09

Summary:
E_form (uncorrected) in kJ/mol of formula units: -14.8
Crystal system: tetragonal
SG: No. 99

CoNi2Os: optimized geometry, GGA-PBE.

Unit cell a=4.046 b=4.046 c=4.046 alpha=60.00 beta=60.00 gamma=60.00
Atoms (fractional coordinates):
Ni: 0.250 0.250 0.250
Ni: 0.750 0.750 0.750
Os: 0.500 0.500 0.500
Co: 0.000 0.000 0.000

Summary:
Energy of formation from the pure elements in eV/atom: 0.304
Distance to the lowest polymorph of the same formula in meV per atom: 205
Crystal system: cubic
SG: No. 225

ScTl2Hg: optimized geometry, GGA-PBE.

Unit cell a=5.927 b=5.927 c=5.927 alpha=135.76 beta=135.76 gamma=64.35
Atoms (fractional coordinates):
Hg: 0.250 0.750 0.500
Sc: 0.750 0.250 0.500
Tl: 0.000 0.000 0.000
Tl: 0.500 0.500 0.000

Summary:
Energy of formation from the pure elements in eV/atom: -0.061
Crystal system: tetragonal
SG: No. 139

Li2TmHg4: optimized geometry, GGA-PBE.

Unit cell a=6.041 b=6.041 c=6.041 alpha=115.54 beta=106.52 gamma=106.52
Atoms (fractional coordinates):
Li: 0.500 0.500 0.000
Li: 0.500 0.000 0.500
Tm: 0.000 0.000 0.000
Hg: 0.500 0.000 0.000
Hg: 0.500 0.500 0.500
Hg: 0.000 0.000 0.500
Hg: 0.000 0.500 0.000

Summary:
Energy of formation from the pure elements in eV/atom: -0.240
Crystal system: tetragonal
SG: No. 139

U3Tl3CoTe8: optimized geometry, GGA-PBE.

Unit cell a=8.435 b=8.435 c=9.829 alpha=115.39 beta=90.00 gamma=120.00
Site moments in Bohr magnetons follow the coordinates.
Atoms (fractional coordinates):
U: 0.500 0.000 0.500  2.33
U: 0.500 0.500 0.500  2.33
U: 0.000 0.500 0.500  2.33
Tl: 0.000 0.000 0.000  -0.01
Tl: 0.000 0.500 0.000  -0.01
Tl: 0.500 0.500 0.000  -0.01
Co: 0.000 0.000 0.500  1.02
Te: 0.260 0.520 0.279  -0.06
Te: 0.740 0.480 0.721  -0.06
Te: 0.783 0.565 0.304  -0.07
Te: 0.217 0.435 0.696  -0.07
Te: 0.782 0.021 0.304  -0.07
Te: 0.218 0.979 0.696  -0.07
Te: 0.239 0.021 0.304  -0.07
Te: 0.761 0.979 0.696  -0.07

Summary:
E_form (uncorrected) in kJ/mol of formula units: -568.4
Crystal system: trigonal
SG: No. 166

BaBeRh2: optimized geometry, GGA-PBE.

Unit cell a=6.160 b=6.160 c=6.160 alpha=40.72 beta=40.72 gamma=40.72
Atoms (fractional coordinates):
Be: 0.750 0.750 0.750
Rh: 0.070 0.070 0.070
Rh: 0.430 0.430 0.430
Ba: 0.250 0.250 0.250

Summary:
Energy of formation from the pure elements in eV/atom: -0.197
Crystal system: trigonal
SG: No. 166

| no. | final energy (eV/atom) |
| --- | --- |
| 1 | -9.217 |
| 2 | -7.170 |
| 3 | -2.903 |
| 4 | -1.599 |
| 5 | -5.273 |
| 6 | -5.285 |